Computed, not measured: WBrO2 after structural relaxation at the GGA+U level of DFT.

Computed properties:
ΔE to the lowest computed polymorph = 48 meV/atom
calculated volume = 82.80 Å³/f.u.
symmetry = I4_1/amd, No. 141

Unit cell a=6.160 b=6.160 c=6.166 alpha=60.03 beta=60.03 gamma=90.00
Fractional coordinates of all 8 atoms:
O: 0.875 0.125 0.250
O: 0.875 0.625 0.250
O: 0.375 0.125 0.750
O: 0.875 0.125 0.750
Br: 0.500 0.500 0.000
Br: 0.250 0.750 0.500
W: 0.000 0.000 0.000
W: 0.750 0.250 0.500